Material: GdB2Ir3
Method: DFT, PBE-GGA
State: optimized geometry

Structure (POSCAR):
```
GdB2Ir3
1.0
3.130 0.000 0.000
0.000 5.507 0.000
0.000 -2.754 4.769
Gd B Ir
1 2 3
Direct
0.000 0.000 0.000
0.000 0.333 0.667
0.000 0.667 0.333
0.500 0.500 0.000
0.500 0.500 0.500
0.500 0.000 0.500
```

space group = P6/mmm
DFT total energy = -58.1 eV per cell
crystal system = hexagonal

=====

Material: Ni2Pt
Method: DFT, PBE-GGA
State: optimized geometry

Structure (POSCAR):
```
Ni2Pt
1.0
-0.382 2.509 0.635
-0.636 -1.087 3.912
3.796 0.904 -1.290
Ni Pt
2 1
Direct
0.000 0.333 0.667
0.000 0.667 0.333
0.500 0.000 0.000
```

space group = P6/mmm
DFT total energy = -17.6 eV per cell
crystal system = hexagonal

=====

Material: K2Na2Cd
Method: DFT, PBE-GGA
State: optimized geometry

Structure (POSCAR):
```
K2Na2Cd
1.0
5.942 0.000 -2.417
-1.567 7.412 -3.852
0.536 0.349 9.829
K Na Cd
4 4 2
Direct
0.101 0.937 0.202
0.899 0.063 0.798
0.399 0.734 0.798
0.601 0.266 0.202
0.669 0.782 0.338
0.331 0.218 0.662
0.831 0.445 0.662
0.169 0.555 0.338
0.250 0.500 0.000
0.750 0.500 0.000
```

space group = Ibam
DFT total energy = -11.5 eV per cell
crystal system = orthorhombic

=====

Material: Nb2Tc2W
Method: DFT, PBE-GGA
State: optimized geometry

Structure (POSCAR):
```
Nb2Tc2W
1.0
7.327 0.000 0.000
0.000 7.327 0.000
0.000 0.000 3.141
Nb Tc W
4 4 2
Direct
0.167 0.667 0.500
0.667 0.833 0.500
0.833 0.333 0.500
0.333 0.167 0.500
0.362 0.862 0.000
0.862 0.638 0.000
0.638 0.138 0.000
0.138 0.362 0.000
0.000 0.000 0.000
0.500 0.500 0.000
```

space group = P4/mbm
DFT total energy = -104.4 eV per cell
crystal system = tetragonal

=====

Material: Pr5NdHo2Tm
Method: DFT, PBE-GGA
State: optimized geometry

Structure (POSCAR):
```
Pr5NdHo2Tm
1.0
5.673 0.000 0.000
-2.836 10.297 0.000
0.000 0.000 10.825
Pr Nd Ho Tm
10 2 4 2
Direct
0.388 0.775 0.023
0.719 0.439 0.810
0.483 0.965 0.745
0.295 0.591 0.703
0.985 0.970 0.519
0.612 0.225 0.523
0.281 0.561 0.310
0.517 0.035 0.245
0.705 0.409 0.203
0.015 0.030 0.019
0.800 0.599 0.509
0.200 0.401 0.009
0.885 0.769 0.810
0.111 0.221 0.740
0.115 0.231 0.310
0.889 0.779 0.240
0.592 0.184 0.964
0.408 0.816 0.464
```

space group = Cmc2_1
DFT total energy = -82.0 eV per cell
crystal system = orthorhombic

=====

Material: RbTl4In4
Method: DFT, PBE-GGA
State: optimized geometry

Structure (POSCAR):
```
RbTl4In4
1.0
-3.805 0.225 -5.034
-0.504 -10.187 -0.074
-8.124 0.357 6.157
Rb Tl In
2 8 8
Direct
0.000 0.000 0.000
0.500 0.500 0.500
0.373 0.367 0.848
0.873 0.652 0.867
0.373 0.633 0.152
0.127 0.133 0.652
0.627 0.848 0.633
0.127 0.867 0.348
0.873 0.348 0.133
0.627 0.152 0.367
0.622 0.855 0.324
0.622 0.145 0.676
0.122 0.824 0.645
0.878 0.355 0.824
0.878 0.645 0.176
0.378 0.324 0.145
0.378 0.676 0.855
0.122 0.176 0.355
```

space group = P4_2/n
DFT total energy = -41.8 eV per cell
crystal system = tetragonal

=====

Material: DyHoPu2
Method: DFT, PBE-GGA
State: optimized geometry

Structure (POSCAR):
```
DyHoPu2
1.0
5.024 0.000 0.000
0.000 4.808 0.000
0.000 0.000 4.808
Dy Ho Pu
1 1 2
Direct
0.500 0.500 0.500
0.500 0.000 0.000
0.000 0.000 0.500
0.000 0.500 0.000
```

space group = P4/mmm
DFT total energy = -37.1 eV per cell
crystal system = tetragonal

=====

Material: ZrGa3Co3
Method: DFT, PBE-GGA
State: optimized geometry

Structure (POSCAR):
```
ZrGa3Co3
1.0
6.302 0.000 0.000
0.000 6.302 0.000
0.000 0.000 6.302
Co Ga Zr
6 6 2
Direct
0.250 0.000 0.500
0.000 0.500 0.250
0.500 0.750 0.000
0.750 0.000 0.500
0.000 0.500 0.750
0.500 0.250 0.000
0.000 0.250 0.500
0.000 0.750 0.500
0.500 0.000 0.750
0.750 0.500 0.000
0.500 0.000 0.250
0.250 0.500 0.000
0.500 0.500 0.500
0.000 0.000 0.000
```

space group = Pm-3n
DFT total energy = -70.6 eV per cell
crystal system = cubic

=====

Material: LaGa9Pt2
Method: DFT, PBE-GGA
State: optimized geometry

Structure (POSCAR):
```
LaGa9Pt2
1.0
7.188 0.000 3.309
3.594 7.430 1.655
0.487 0.000 8.403
La Ga Pt
2 18 4
Direct
0.500 0.000 0.000
0.250 0.500 0.500
0.750 0.500 0.500
0.000 0.000 0.000
0.004 0.917 0.676
0.597 0.083 0.324
0.671 0.176 0.583
0.430 0.824 0.417
0.746 0.824 0.583
0.153 0.176 0.417
0.079 0.917 0.324
0.320 0.083 0.676
0.746 0.583 0.824
0.153 0.417 0.176
0.079 0.324 0.917
0.320 0.676 0.083
0.004 0.676 0.917
0.597 0.324 0.083
0.671 0.583 0.176
0.430 0.417 0.824
0.875 0.250 0.750
0.875 0.750 0.250
0.875 0.250 0.250
0.375 0.750 0.750
```

space group = I4_1/amd
DFT total energy = -98.8 eV per cell
crystal system = tetragonal

=====

Material: Sr3CaZr
Method: DFT, PBE-GGA
State: optimized geometry

Structure (POSCAR):
```
Sr3CaZr
1.0
-2.417 3.200 4.683
-5.495 -2.582 -1.072
1.405 -4.594 3.865
Sr Ca Zr
3 1 1
Direct
0.000 0.500 0.000
0.000 0.000 0.500
0.500 0.000 0.000
0.500 0.500 0.500
0.000 0.000 0.000
```

space group = Pm-3m
DFT total energy = -12.2 eV per cell
crystal system = cubic

=====

Material: TeMo2Se2S
Method: DFT, PBE-GGA
State: optimized geometry

Structure (POSCAR):
```
TeMo2Se2S
1.0
3.343 0.000 0.000
-1.672 2.895 0.000
0.000 0.000 29.745
Te Mo Se S
2 4 4 2
Direct
0.667 0.333 0.567
0.667 0.333 0.440
0.000 0.000 0.993
0.000 0.000 0.503
0.667 0.333 0.751
0.667 0.333 0.249
0.000 0.000 0.193
0.667 0.333 0.049
0.667 0.333 0.937
0.000 0.000 0.305
0.000 0.000 0.700
0.000 0.000 0.802
```

space group = P3m1
DFT total energy = -78.9 eV per cell
formation energy without anion corrections = -0.592 eV/atom
crystal system = trigonal

=====

Material: CsEuI2
Method: DFT, PBE-GGA
State: optimized geometry

Structure (POSCAR):
```
CsEuI2
1.0
4.170 0.000 0.000
0.000 6.362 0.000
0.000 0.000 6.362
Eu Cs I
1 1 2
Direct
0.500 0.000 0.000
0.500 0.500 0.500
0.000 0.000 0.500
0.000 0.500 0.000
```

space group = P4/mmm
DFT total energy = -18.7 eV per cell
formation energy without anion corrections = -1.126 eV/atom
crystal system = tetragonal

=====

Material: AcTbNd
Method: DFT, PBE-GGA
State: optimized geometry

Structure (POSCAR):
```
AcTbNd
1.0
-2.835 0.751 5.117
0.214 -6.100 1.014
10.806 1.342 5.790
Ac Tb Nd
4 4 4
Direct
0.750 0.248 0.250
0.250 0.252 0.750
0.250 0.748 0.250
0.750 0.752 0.750
0.250 0.191 0.066
0.750 0.309 0.934
0.750 0.691 0.434
0.250 0.809 0.566
0.250 0.691 0.935
0.750 0.809 0.065
0.750 0.191 0.565
0.250 0.309 0.435
```

space group = Pnma
DFT total energy = -53.1 eV per cell
crystal system = orthorhombic

=====

Material: CoAsOs2
Method: DFT, PBE-GGA
State: optimized geometry

Structure (POSCAR):
```
CoAsOs2
1.0
3.785 0.000 0.000
0.000 2.795 0.003
0.000 1.391 5.245
As Co Os
1 1 2
Direct
0.000 0.289 0.548
0.500 0.704 0.716
0.000 0.060 0.004
0.500 0.447 0.232
```

space group = Amm2
DFT total energy = -33.3 eV per cell
crystal system = orthorhombic

=====

Material: Pu3Si2PtRh9
Method: DFT, PBE-GGA
State: optimized geometry

Structure (POSCAR):
```
Pu3Si2PtRh9
1.0
-6.405 -2.967 -0.673
5.002 -3.203 3.874
-2.069 3.251 5.359
Pu Si Pt Rh
3 2 1 9
Direct
0.333 0.667 0.699
0.000 0.000 0.000
0.667 0.333 0.301
0.333 0.667 0.151
0.667 0.333 0.849
0.000 0.000 0.500
0.803 0.197 0.614
0.803 0.606 0.614
0.394 0.197 0.614
0.606 0.803 0.386
0.197 0.394 0.386
0.197 0.803 0.386
0.500 0.000 0.000
0.000 0.500 0.000
0.500 0.500 0.000
```

space group = P-3m1
DFT total energy = -128.5 eV per cell
formation energy without anion corrections = -0.166 eV/atom
crystal system = trigonal

=====

Material: Y3Ni2Ge4
Method: DFT, PBE-GGA
State: optimized geometry

Structure (POSCAR):
```
Y3Ni2Ge4
1.0
4.173 0.000 0.000
-2.087 5.310 -0.064
0.000 -2.231 7.774
Y Ni Ge
3 2 4
Direct
0.625 0.250 0.694
0.000 0.000 0.000
0.375 0.750 0.306
0.692 0.383 0.369
0.308 0.617 0.631
0.708 0.417 0.077
0.292 0.583 0.923
0.909 0.817 0.600
0.091 0.183 0.400
```

space group = C2/m
DFT total energy = -56.5 eV per cell
crystal system = monoclinic

=====

Material: Sm6ZnSi2
Method: DFT, PBE-GGA
State: optimized geometry

Structure (POSCAR):
```
Sm6ZnSi2
1.0
-6.755 -1.380 -5.187
0.768 -6.327 5.815
-1.024 7.358 4.388
Sm Zn Si
12 2 4
Direct
0.557 0.733 0.824
0.443 0.267 0.176
0.091 0.267 0.824
0.909 0.733 0.176
0.802 0.750 0.552
0.198 0.250 0.448
0.198 0.750 0.948
0.802 0.250 0.052
0.705 0.379 0.674
0.295 0.621 0.326
0.295 0.969 0.674
0.705 0.031 0.326
0.000 0.500 0.500
0.000 0.000 0.000
0.500 0.384 0.884
0.500 0.616 0.116
0.640 0.000 0.640
0.360 0.000 0.360
```

space group = Immm
DFT total energy = -88.6 eV per cell
formation energy without anion corrections = -0.428 eV/atom
crystal system = orthorhombic

=====

Material: SnAsPdBr2
Method: DFT, PBE-GGA
State: optimized geometry

Structure (POSCAR):
```
SnAsPdBr2
1.0
-4.333 2.711 -0.067
-1.107 -1.884 -4.621
-2.440 -3.847 2.153
As Br Sn Pd
1 2 1 1
Direct
0.000 0.000 0.500
0.000 0.500 0.000
0.500 0.000 0.000
0.500 0.500 0.500
0.000 0.000 0.000
```

space group = P4/mmm
DFT total energy = -16.7 eV per cell
formation energy without anion corrections = 0.094 eV/atom
crystal system = tetragonal

=====

Material: GaCuBi3
Method: DFT, PBE-GGA
State: optimized geometry

Structure (POSCAR):
```
GaCuBi3
1.0
5.327 0.000 0.000
0.000 5.327 0.000
0.000 0.000 5.327
Cu Bi Ga
1 3 1
Direct
0.000 0.000 0.000
0.000 0.500 0.000
0.000 0.000 0.500
0.500 0.000 0.000
0.500 0.500 0.500
```

space group = Pm-3m
DFT total energy = -16.7 eV per cell
crystal system = cubic

=====

Material: SmYGeRh
Method: DFT, PBE-GGA
State: optimized geometry

Structure (POSCAR):
```
SmYGeRh
1.0
-0.963 -1.735 -3.632
-1.759 -3.240 2.014
-4.173 3.407 1.837
Sm Y Ge Rh
1 1 1 1
Direct
0.144 0.000 0.287
0.863 0.500 0.726
0.573 0.500 0.145
0.421 0.000 0.842
```

space group = Amm2
DFT total energy = -26.5 eV per cell
crystal system = orthorhombic

=====

Material: Pr5NdEr3
Method: DFT, PBE-GGA
State: optimized geometry

Structure (POSCAR):
```
Pr5NdEr3
1.0
-4.120 -1.839 6.782
-6.066 -3.038 -4.509
9.252 -6.154 -0.940
Pr Nd Er
10 2 6
Direct
0.070 0.570 0.733
0.663 0.163 0.733
0.163 0.070 0.733
0.570 0.663 0.733
0.930 0.430 0.267
0.337 0.837 0.267
0.837 0.930 0.267
0.430 0.337 0.267
0.500 0.500 0.000
0.000 0.000 0.000
0.750 0.250 0.500
0.250 0.750 0.500
0.628 0.128 0.000
0.372 0.872 0.000
0.872 0.628 0.000
0.128 0.372 0.000
0.250 0.250 0.500
0.750 0.750 0.500
```

space group = I4/mcm
DFT total energy = -79.6 eV per cell
crystal system = tetragonal

=====

Material: Ba2LiF5
Method: DFT, PBE-GGA
State: optimized geometry

Structure (POSCAR):
```
Ba2LiF5
1.0
4.963 0.000 0.000
-2.481 6.323 0.000
0.000 0.000 12.222
Ba Li F
4 2 10
Direct
0.856 0.712 0.425
0.856 0.712 0.075
0.144 0.288 0.575
0.144 0.288 0.925
0.862 0.723 0.750
0.138 0.277 0.250
0.944 0.888 0.876
0.944 0.888 0.624
0.300 0.600 0.431
0.300 0.600 0.069
0.745 0.491 0.250
0.255 0.509 0.750
0.700 0.400 0.569
0.700 0.400 0.931
0.056 0.112 0.124
0.056 0.112 0.376
```

space group = Cmcm
DFT total energy = -85.6 eV per cell
formation energy without anion corrections = -3.459 eV/atom
crystal system = orthorhombic